No. 1
## SrTlTe (GGA-PBE)

Data for a relaxed SrTlTe crystal.

The structure belongs to space group Fmmm (No. 69); the cell edges are 6.376, 17.409 and 19.718 Å and the angles 90.00°, 90.00° and 90.00°. The asymmetric unit holds Sr at (0.000, 0.164, 0.155), Tl at (0.000, 0.000, 0.423), Tl at (0.000, 0.184, 0.500) and Te at (0.000, 0.151, 0.322).

The energy above the lowest structure with this stoichiometry is 0.0000 eV per atom. The value obtained for the uncorrected formation energy is -0.757 eV/atom. As for the uncorrected energy: -3.15 eV per atom. The volume comes out at 2189 Å³/cell.

=====

No. 2
## EuErS2 (GGA-PBE)

Data for a relaxed EuErS2 crystal.

The structure belongs to space group R-3m (No. 166, hexagonal axes); the cell edges are 3.9663, 3.9663 and 19.8000 Å and the angles 90.00°, 90.00° and 120.00°. The asymmetric unit holds Eu at (0.0000, 0.0000, 0.0000), Er at (0.0000, 0.0000, 0.5000) and S at (0.0000, 0.0000, 0.2440).

The value obtained for the uncorrected formation energy is -2.069 eV/atom. As for the uncorrected energy: -7.84 eV per atom. The volume comes out at 270 Å³/cell.

=====

No. 3
## Th3TlTe2 (GGA-PBE)

Data for a relaxed Th3TlTe2 crystal.

The structure belongs to space group P4/mmm (No. 123); the cell edges are 3.777, 3.777 and 12.181 Å and the angles 90.00°, 90.00° and 90.00°. The asymmetric unit holds Th at (0.000, 0.000, 0.000), Th at (0.000, 0.000, 0.324), Tl at (0.500, 0.500, 0.500) and Te at (0.500, 0.500, 0.160).

The value obtained for the uncorrected formation energy is -0.750 eV/atom. As for the uncorrected energy: -5.90 eV per atom. The volume comes out at 174 Å³/cell.